# 1
# Ca2CuPbO5

A relaxed structure of Ca2CuPbO5 (PBE-GGA, Alexandria via LeMat-Bulk).

For the uncorrected formation energy, the calculation gives -15.059 eV per formula unit. The value obtained for the size of the total moment is 0.114 μB/atom.

Cell lengths 7.3351, 7.3351, 9.9083 Å; angles 90.00, 90.00, 153.63 degrees
With the nearest neighbours (Å) after each atom.
Atoms (fractional coordinates):
Ca (0.1090, 0.8910, 0.5000)  7 O 2.44-2.72
Ca (0.1206, 0.8794, 0.1062)  8 O 2.42-2.70
Ca (0.8794, 0.1206, 0.6062)  8 O 2.42-2.70
Ca (0.8910, 0.1090, 0.0000)  7 O 2.44-2.72
Cu (0.4815, 0.5185, 0.2795)  3 O 1.89-1.92
Cu (0.5185, 0.4815, 0.7795)  3 O 1.89-1.92
Pb (0.2149, 0.7851, 0.8143)  6 O 2.18-2.28
Pb (0.7851, 0.2149, 0.3143)  6 O 2.18-2.28
O (0.0570, 0.9430, 0.8495)  2 Cu 1.89
O (0.2859, 0.7141, 0.4677)  2 Pb 2.26
O (0.2941, 0.7059, 0.1652)  2 Pb 2.24
O (0.3675, 0.6325, 0.8141)  1 Pb 2.18, 1 Cu 2.18
O (0.4991, 0.5009, 0.0875)  1 Cu 1.92
O (0.5009, 0.4991, 0.5875)  1 Cu 1.92
O (0.6325, 0.3675, 0.3141)  1 Pb 2.18, 1 Cu 2.18
O (0.7059, 0.2941, 0.6652)  2 Pb 2.24
O (0.7141, 0.2859, 0.9677)  2 Pb 2.26
O (0.9430, 0.0570, 0.3495)  2 Cu 1.89



# 2
# Ba5Tl2In

A relaxed structure of Ba5Tl2In (PBE-GGA, Alexandria via LeMat-Bulk).

The value obtained for the size of the total moment is 0.001 μB/atom.

Cell lengths 11.0370, 11.0370, 11.0370 Å; angles 131.77, 131.77, 70.60 degrees
With the nearest neighbours (Å) after each atom.
Atoms (fractional coordinates):
Ba (0.0000, 0.0000, 0.0000)  4 Tl 3.59
Ba (0.0269, 0.5269, 0.8486)  3 Tl 3.73-3.79, 2 In 3.81, 1 Ba 4.17
Ba (0.1783, 0.0269, 0.5000)  3 Tl 3.73-3.79, 2 In 3.81, 1 Ba 4.17
Ba (0.3217, 0.8217, 0.8486)  3 Tl 3.73-3.79, 2 In 3.81, 1 Ba 4.17
Ba (0.4731, 0.3217, 0.5000)  3 Tl 3.73-3.79, 2 In 3.81, 1 Ba 4.17
Ba (0.5000, 0.5000, 0.0000)  4 Tl 3.59
Ba (0.5269, 0.6783, 0.5000)  3 Tl 3.73-3.79, 2 In 3.81, 1 Ba 4.17
Ba (0.6783, 0.1783, 0.1514)  3 Tl 3.73-3.79, 2 In 3.81, 1 Ba 4.17
Ba (0.8217, 0.9731, 0.5000)  3 Tl 3.73-3.79, 2 In 3.81, 1 Ba 4.17
Ba (0.9731, 0.4731, 0.1514)  3 Tl 3.73-3.79, 2 In 3.81, 1 Ba 4.17
Tl (0.1199, 0.3801, 0.5000)  1 Tl 3.06
Tl (0.3801, 0.8801, 0.2603)  1 Tl 3.06
Tl (0.6199, 0.1199, 0.7397)  1 Tl 3.06
Tl (0.8801, 0.6199, 0.5000)  1 Tl 3.06
In (0.2500, 0.2500, 0.0000)  8 Ba 3.81
In (0.7500, 0.7500, 0.0000)  8 Ba 3.81



# 3
# GdTiH3

A relaxed structure of GdTiH3 (PBE-GGA, Alexandria via LeMat-Bulk).

The value obtained for the size of the total moment is 1.422 μB/atom.

Cell lengths 3.7565, 3.7565, 3.7565 Å; angles 90.00, 90.00, 90.00 degrees
With the nearest neighbours (Å) after each atom.
Atoms (fractional coordinates):
Gd (0.0000, 0.0000, 0.0000)  12 H 2.66
Ti (0.5000, 0.5000, 0.5000)  6 H 1.88
H (0.0000, 0.5000, 0.5000)  2 Ti 1.88
H (0.5000, 0.0000, 0.5000)  2 Ti 1.88
H (0.5000, 0.5000, 0.0000)  2 Ti 1.88



# 4
# YH2Pd

A relaxed structure of YH2Pd (PBE-GGA, Alexandria via LeMat-Bulk).

The value obtained for the size of the total moment is 0.000 μB/atom.

Cell lengths 6.0884, 6.0884, 6.0884 Å; angles 137.82, 137.82, 61.17 degrees
With the nearest neighbours (Å) after each atom.
Atoms (fractional coordinates):
Y (0.0000, 0.0000, 0.0000)  4 H 2.29
Y (0.7500, 0.2500, 0.5000)  4 H 2.29
H (0.2231, 0.6250, 0.0981)  2 Pd 1.83
H (0.3750, 0.4731, 0.5981)  2 Pd 1.83
H (0.5269, 0.1250, 0.9019)  2 Pd 1.83
H (0.8750, 0.7769, 0.4019)  2 Pd 1.83
Pd (0.2500, 0.7500, 0.5000)  4 H 1.83
Pd (0.5000, 0.5000, 0.0000)  4 H 1.83



Number 1: raw total energy -5.74 eV per atom. Number 2: raw total energy -2.44 eV per atom. Number 3: raw total energy -6.77 eV per atom. Number 4: raw total energy -5.00 eV per atom.